Material: GeSO6
Method: DFT, GGA-PBE
State: relaxed

Values from the calculation:
ΔE_f (raw), meV per atom: -489.8
M_tot, μB per cell: 2.0
Raw total energy, eV per atom: -5.30

Unit cell a=4.6286 b=4.6285 c=4.8482 alpha=61.48 beta=61.48 gamma=60.00
Fractional positions:
S 0.0000 0.0000 0.0000
O 0.6374 0.2210 0.2330
O 0.3626 0.7790 0.7670
O 0.0914 0.3627 0.7669
O 0.9086 0.6373 0.2331
O 0.7788 0.0914 0.7671
O 0.2212 0.9086 0.2329
Ge 0.5000 0.5000 0.5000


Material: YTc3Os
Method: DFT, GGA-PBE
State: relaxed

Values from the calculation:
Formation enthalpy at 0 K, eV/atom: 2.845
M_tot, μB per cell: 0.0
Raw total energy, eV per atom: -6.91

Unit cell a=4.6313 b=4.6313 c=4.6313 alpha=90.00 beta=90.00 gamma=90.00
Fractional positions:
Tc 0.5000 0.0000 0.0000
Tc 0.0000 0.5000 0.0000
Tc 0.0000 0.0000 0.5000
Os 0.5000 0.5000 0.5000
Y 0.0000 0.0000 0.0000


| no. | DOS at the Fermi energy (states/eV/cell) |
| --- | --- |
| 1 | 3.1 |
| 2 | 9.0 |